[1]
Below is a relaxed BaSn2Hg5Pb crystal, with properties calculated at the GGA-PBE level.

Geometry as POSCAR:
```
BaSn2Hg5Pb
1.0
5.7208 0.0000 0.0000
0.0000 5.7208 0.0000
0.0000 0.0000 8.6719
Ba Sn Hg Pb
1 2 5 1
Direct
0.0000 0.0000 0.5000
0.5000 0.5000 0.1714
0.5000 0.5000 0.8286
0.0000 0.5000 0.2102
0.5000 0.0000 0.2102
0.0000 0.5000 0.7898
0.5000 0.0000 0.7898
0.5000 0.5000 0.5000
0.0000 0.0000 0.0000
```

Calculated formation energy = -85 meV/atom

[2]
Below is a relaxed BaSn2Hg2Pb crystal, with properties calculated at the GGA-PBE level.

Geometry as POSCAR:
```
BaSn2Hg2Pb
1.0
5.2460 0.0000 0.0000
-2.6230 4.5432 0.0000
0.0000 0.0000 7.6299
Ba Sn Hg Pb
1 2 2 1
Direct
0.0000 0.0000 0.0000
0.3333 0.6667 0.7022
0.6667 0.3333 0.2978
0.3333 0.6667 0.2623
0.6667 0.3333 0.7377
0.0000 0.0000 0.5000
```

Calculated formation energy = -286 meV/atom

[3]
Below is a relaxed Ba2SnHg4Pb3 crystal, with properties calculated at the GGA-PBE level.

Geometry as POSCAR:
```
Ba2SnHg4Pb3
1.0
5.0901 0.0000 0.0000
0.0000 5.0901 0.0000
0.0000 0.0000 12.5224
Ba Sn Hg Pb
2 1 4 3
Direct
0.5000 0.0000 0.2426
0.0000 0.5000 0.7574
0.5000 0.5000 0.5000
0.5000 0.5000 0.0000
0.0000 0.0000 0.0000
0.5000 0.0000 0.6357
0.0000 0.5000 0.3643
0.0000 0.0000 0.5000
0.5000 0.0000 0.8674
0.0000 0.5000 0.1326
```

Calculated formation energy = -321 meV/atom

[4]
Below is a relaxed BaSrHgPb crystal, with properties calculated at the GGA-PBE level.

Geometry as POSCAR:
```
BaSrHgPb
1.0
5.9116 0.0000 0.0000
2.9558 5.1196 0.0000
2.9558 1.7065 4.8268
Pb Sr Hg Ba
1 1 1 1
Direct
0.0000 0.0000 0.0000
0.2500 0.2500 0.2500
0.5000 0.5000 0.5000
0.7500 0.7500 0.7500
```

Calculated formation energy = -596 meV/atom

[5]
Below is a relaxed Ba2SrHg2Pb2 crystal, with properties calculated at the GGA-PBE level.

Geometry as POSCAR:
```
Ba2SrHg2Pb2
1.0
5.3107 0.0000 0.0000
2.6554 4.5992 0.0000
2.6554 1.5331 10.1480
Ba Sr Hg Pb
2 1 2 2
Direct
0.1357 0.1357 0.5929
0.8643 0.8643 0.4071
0.0000 0.0000 0.0000
0.5752 0.5752 0.2745
0.4248 0.4248 0.7255
0.7315 0.7315 0.8056
0.2685 0.2685 0.1944
```

Calculated formation energy = -392 meV/atom

[6]
Below is a relaxed BaTbHgPb crystal, with properties calculated at the GGA-PBE level.

Geometry as POSCAR:
```
BaTbHgPb
1.0
5.6962 0.0000 0.0000
2.8481 4.9331 0.0000
2.8481 1.6444 4.6509
Pb Tb Hg Ba
1 1 1 1
Direct
0.2500 0.2500 0.2500
0.0000 0.0000 0.0000
0.7500 0.7500 0.7500
0.5000 0.5000 0.5000
```

Calculated formation energy = -392 meV/atom

[7]
Below is a relaxed BaHgTe3Pb crystal, with properties calculated at the GGA-PBE level.

Geometry as POSCAR:
```
BaHgTe3Pb
1.0
-2.3976 2.1388 3.3912
6.3920 -2.9786 6.3976
4.1495 9.2578 -2.9052
Ba Hg Te Pb
2 2 6 2
Direct
0.2500 0.1883 0.2379
0.7500 0.8117 0.7621
0.2500 0.1031 0.6132
0.7500 0.8969 0.3868
0.7500 0.9125 0.1224
0.2500 0.0875 0.8776
0.2500 0.7722 0.4859
0.7500 0.2278 0.5141
0.7500 0.4341 0.1666
0.2500 0.5659 0.8334
0.2500 0.6604 0.1304
0.7500 0.3396 0.8696
```

E_form (uncorrected) = -4.4 eV/f.u.

[8]
Below is a relaxed Ba3Tl2Hg4Pb2 crystal, with properties calculated at the GGA-PBE level.

Geometry as POSCAR:
```
Ba3Tl2Hg4Pb2
1.0
5.1265 0.0000 0.0000
-2.5632 4.4397 0.0000
0.0000 0.0000 17.4553
Ba Tl Hg Pb
3 2 4 2
Direct
0.0000 0.0000 0.7299
0.0000 0.0000 0.0000
0.0000 0.0000 0.2701
0.6667 0.3333 0.4417
0.3333 0.6667 0.5583
0.6667 0.3333 0.1197
0.3333 0.6667 0.8803
0.6667 0.3333 0.6191
0.3333 0.6667 0.3809
0.6667 0.3333 0.8563
0.3333 0.6667 0.1437
```

Calculated formation energy = -358 meV/atom

[9]
Below is a relaxed Ba2Tl4Hg3Pb crystal, with properties calculated at the GGA-PBE level.

Geometry as POSCAR:
```
Ba2Tl4Hg3Pb
1.0
-2.4586 -3.7068 2.6379
3.2776 0.6365 3.9492
-7.6200 8.5715 4.9425
Ba Tl Hg Pb
2 4 3 1
Direct
0.5000 0.0000 0.2531
0.0000 0.5000 0.7469
0.5000 0.5000 0.0000
0.0000 0.0000 0.0000
0.5000 0.0000 0.6370
0.0000 0.5000 0.3630
0.0000 0.0000 0.5000
0.5000 0.0000 0.8692
0.0000 0.5000 0.1308
0.5000 0.5000 0.5000
```

Calculated formation energy = -282 meV/atom

[10]
Below is a relaxed Ba2TlHg3Pb4 crystal, with properties calculated at the GGA-PBE level.

Geometry as POSCAR:
```
Ba2TlHg3Pb4
1.0
-3.7249 -3.1961 -2.0292
0.8044 -3.4499 3.9571
-8.3736 5.5863 6.5724
Ba Tl Hg Pb
2 1 3 4
Direct
0.5000 0.0000 0.2529
0.0000 0.5000 0.7471
0.5000 0.5000 0.5000
0.0000 0.0000 0.5000
0.5000 0.0000 0.8728
0.0000 0.5000 0.1272
0.5000 0.5000 0.0000
0.0000 0.0000 0.0000
0.5000 0.0000 0.6317
0.0000 0.5000 0.3683
```

Calculated formation energy = -280 meV/atom

[11]
Below is a relaxed BaTl2HgPb crystal, with properties calculated at the GGA-PBE level.

Geometry as POSCAR:
```
BaTl2HgPb
1.0
5.1416 0.0000 0.0000
0.0000 5.1017 -0.0067
-2.5708 -2.5597 6.4535
Ba Tl Hg Pb
1 2 1 1
Direct
0.4381 0.4382 0.8761
0.6950 0.1945 0.3900
0.0534 0.0533 0.1068
0.8294 0.8294 0.6587
0.1963 0.6967 0.3927
```

Calculated formation energy = -275 meV/atom

[12]
Below is a relaxed BaTlHg2Pb2 crystal, with properties calculated at the GGA-PBE level.

Geometry as POSCAR:
```
BaTlHg2Pb2
1.0
5.3886 0.0000 0.0000
-2.6943 4.6666 0.0000
0.0000 0.0000 7.5565
Ba Tl Hg Pb
1 1 2 2
Direct
0.0000 0.0000 0.0000
0.0000 0.0000 0.5000
0.3333 0.6667 0.2435
0.6667 0.3333 0.7565
0.3333 0.6667 0.6905
0.6667 0.3333 0.3095
```

Calculated formation energy = -232 meV/atom